Entry from Alexandria: a relaxed HfTa2V crystal (GGA-PBE).

Values from the calculation:
For the energy above the most stable polymorph in this dataset, the calculation gives 91 meV/atom. The calculation puts the calculated density at 13.7 g/cm³. Its crystal system is cubic. Its total DFT energy (no corrections) is -10.515 eV per atom. Its formation energy is 0.18 eV per atom.

abc: 4.659 4.659 4.659
angles: 60.00 60.00 60.00
Positions (direct):
Hf 0.000 0.000 0.000
Ta 0.250 0.250 0.250
Ta 0.750 0.750 0.750
V 0.500 0.500 0.500



Entry from Alexandria: a relaxed Hf3TaV crystal (GGA-PBE).

Values from the calculation:
For the energy above the most stable polymorph in this dataset, the calculation gives 380 meV/atom. The calculation puts the calculated density at 9.8 g/cm³. Its crystal system is cubic. Its total DFT energy (no corrections) is -8.827 eV per atom. Its formation energy is 1.34 eV per atom.

abc: 5.074 5.074 5.074
angles: 90.00 90.00 90.00
Positions (direct):
Hf 0.000 0.000 0.500
Hf 0.000 0.500 0.000
Hf 0.500 0.000 0.000
Ta 0.000 0.000 0.000
V 0.500 0.500 0.500



Entry from Alexandria: a relaxed HfTaV3 crystal (GGA-PBE).

Values from the calculation:
For the energy above the most stable polymorph in this dataset, the calculation gives 0 meV/atom. The calculation puts the calculated density at 8.8 g/cm³. Its crystal system is cubic. Its total DFT energy (no corrections) is -8.638 eV per atom. Its formation energy is 1.19 eV per atom.

abc: 4.598 4.598 4.598
angles: 90.00 90.00 90.00
Positions (direct):
Hf 0.000 0.000 0.000
Ta 0.500 0.500 0.500
V 0.000 0.500 0.500
V 0.500 0.000 0.500
V 0.500 0.500 0.000



Entry from Alexandria: a relaxed Hf2TaV9 crystal (GGA-PBE).

Values from the calculation:
The calculation puts the calculated density at 8.8 g/cm³. Its crystal system is trigonal. Its total DFT energy (no corrections) is -9.368 eV per atom. Its formation energy is 0.12 eV per atom.

abc: 8.479 8.479 8.479
angles: 35.97 35.97 35.97
Positions (direct):
Hf 0.144 0.144 0.144
Hf 0.856 0.856 0.856
Ta 0.000 0.000 0.000
V 0.079 0.582 0.582
V 0.333 0.333 0.333
V 0.418 0.418 0.921
V 0.418 0.921 0.418
V 0.500 0.500 0.500
V 0.582 0.079 0.582
V 0.582 0.582 0.079
V 0.667 0.667 0.667
V 0.921 0.418 0.418



Entry from Alexandria: a relaxed HfTa2V9 crystal (GGA-PBE).

Values from the calculation:
The calculation puts the calculated density at 9.0 g/cm³. Its crystal system is trigonal. Its total DFT energy (no corrections) is -9.598 eV per atom. Its formation energy is 0.05 eV per atom.

abc: 8.438 8.438 8.438
angles: 35.83 35.83 35.83
Positions (direct):
Hf 0.000 0.000 0.000
Ta 0.146 0.146 0.146
Ta 0.854 0.854 0.854
V 0.080 0.585 0.585
V 0.333 0.333 0.333
V 0.415 0.415 0.920
V 0.415 0.920 0.415
V 0.500 0.500 0.500
V 0.585 0.080 0.585
V 0.585 0.585 0.080
V 0.667 0.667 0.667
V 0.920 0.415 0.415



Entry from Alexandria: a relaxed HfTa2V crystal (GGA-PBE).

Values from the calculation:
For the energy above the most stable polymorph in this dataset, the calculation gives 560 meV/atom. The calculation puts the calculated density at 12.9 g/cm³. Its crystal system is tetragonal. Its total DFT energy (no corrections) is -10.047 eV per atom. Its formation energy is 0.65 eV per atom.

abc: 5.924 5.924 5.924
angles: 102.74 102.74 123.97
Positions (direct):
Hf 0.000 0.000 0.000
Hf 0.750 0.250 0.500
Ta 0.155 0.625 0.030
Ta 0.375 0.405 0.530
Ta 0.595 0.125 0.970
Ta 0.875 0.845 0.470
V 0.250 0.750 0.500
V 0.500 0.500 0.000



Entry from Alexandria: a relaxed HfTaV crystal (GGA-PBE).

Values from the calculation:
The calculation puts the calculated density at 11.5 g/cm³. Its crystal system is tetragonal. Its total DFT energy (no corrections) is -9.442 eV per atom. Its formation energy is 0.87 eV per atom.

abc: 7.765 7.765 7.765
angles: 159.13 159.13 29.69
Positions (direct):
Hf 0.000 0.000 0.000
Ta 0.348 0.348 0.000
V 0.179 0.179 0.000



Entry from Alexandria: a relaxed Hf2TaV4 crystal (GGA-PBE).

Values from the calculation:
The calculation puts the calculated density at 8.4 g/cm³. Its crystal system is tetragonal. Its total DFT energy (no corrections) is -8.612 eV per atom. Its formation energy is 1.14 eV per atom.

abc: 7.717 7.717 7.717
angles: 145.62 145.62 49.41
Positions (direct):
Hf 0.122 0.122 0.000
Hf 0.878 0.878 0.000
Ta 0.500 0.500 0.000
V 0.000 0.500 0.500
V 0.322 0.322 0.000
V 0.500 0.000 0.500
V 0.678 0.678 0.000



Q: Which of these has the lowest calculated density?
A: Hf2TaV4